# 1
Rb2TiBr6F | PBE | optimized geometry

Summary:
- formation energy (no corrections) (meV per atom) = -1283
- density (g cm⁻³) = 3.74
- crystal system = tetragonal
- E (eV per atom) = -3.457

a = 7.437 Å, b = 7.437 Å, c = 11.506 Å
α = 90.00°, β = 90.00°, γ = 90.00°
Space group I4/mmm (No. 139)
Symmetry-distinct sites (fractional):
Rb (0.000, 0.500, 0.250) [4 per cell]
Ti (0.000, 0.000, 0.000) [2 per cell]
Br (0.000, 0.000, 0.220) [4 per cell]
Br (0.241, 0.241, 0.000) [8 per cell]
F (0.000, 0.000, 0.500) [2 per cell]

***

# 2
CeNpH | PBE | optimized geometry

Summary:
- density (g cm⁻³) = 12.59
- crystal system = orthorhombic
- E (eV per atom) = -7.194

a = 6.345 Å, b = 15.870 Å, c = 5.944 Å
α = 90.00°, β = 90.00°, γ = 90.00°
Space group Ima2 (No. 46)
Symmetry-distinct sites (fractional):
Ce (0.011, 0.167, 0.000) [8 per cell]
Ce (0.250, 0.539, 0.097) [4 per cell]
Np (0.000, 0.000, 0.213) [4 per cell]
Np (0.063, 0.160, 0.560) [8 per cell]
H (0.250, 0.220, 0.292) [4 per cell]
H (0.250, 0.560, 0.496) [4 per cell]
H (0.250, 0.719, 0.995) [4 per cell]

***

# 3
CdSiAu | PBE | optimized geometry

Summary:
- formation energy (no corrections) (meV per atom) = 182
- density (g cm⁻³) = 9.99
- crystal system = hexagonal
- E (eV per atom) = -3.023

a = 4.6684 Å, b = 4.6684 Å, c = 2.9728 Å
α = 90.00°, β = 90.00°, γ = 120.00°
Space group P-6m2 (No. 187)
Symmetry-distinct sites (fractional):
Cd (0.0000, 0.0000, 0.0000) [1 per cell]
Si (0.3333, 0.6667, 0.5000) [1 per cell]
Au (0.6667, 0.3333, 0.5000) [1 per cell]

***

# 4
LaSiBi2I | PBE | optimized geometry

Summary:
- formation energy (no corrections) (meV per atom) = 818
- density (g cm⁻³) = 5.67
- crystal system = tetragonal
- E (eV per atom) = -3.114

a = 5.972 Å, b = 5.972 Å, c = 5.851 Å
α = 90.00°, β = 90.00°, γ = 90.00°
Space group P4/mmm (No. 123)
Symmetry-distinct sites (fractional):
La (0.000, 0.000, 0.000) [1 per cell]
Si (0.500, 0.500, 0.000) [1 per cell]
Bi (0.000, 0.500, 0.500) [2 per cell]
I (0.000, 0.000, 0.500) [1 per cell]

***

# 5
Cd12In4Hg | PBE | optimized geometry

Summary:
- energy of formation from the pure elements (eV per atom) = 0.198
- density (g cm⁻³) = 6.52
- crystal system = trigonal
- E (eV per atom) = -1.110

a = 14.2572 Å, b = 14.2572 Å, c = 8.7179 Å
α = 90.00°, β = 90.00°, γ = 120.00°
Space group R-3 (No. 148, hexagonal axes)
Symmetry-distinct sites (fractional):
Cd (0.0195, 0.1858, 0.3327) [18 per cell]
Cd (0.0496, 0.5984, 0.8038) [18 per cell]
In (0.0000, 0.0000, 0.5000) [3 per cell]
In (0.0000, 0.5000, 0.5000) [9 per cell]
Hg (0.0000, 0.0000, 0.0000) [3 per cell]

***

# 6
YNi2Au | PBE | optimized geometry

Summary:
- energy of formation from the pure elements (eV per atom) = -0.320
- density (g cm⁻³) = 9.82
- crystal system = monoclinic
- E (eV per atom) = -5.646

a = 3.686 Å, b = 3.849 Å, c = 5.144 Å
α = 90.00°, β = 110.89°, γ = 90.00°
Space group Pm (No. 6)
Symmetry-distinct sites (fractional):
Y (0.000, 0.000, 0.000) [1 per cell]
Ni (0.276, 0.000, 0.550) [1 per cell]
Ni (0.414, 0.500, 0.827) [1 per cell]
Au (0.700, 0.500, 0.398) [1 per cell]

***

# 7
AcY4Ho5 | PBE | optimized geometry

Summary:
- energy of formation from the pure elements (eV per atom) = 0.337
- density (g cm⁻³) = 6.86
- crystal system = tetragonal
- energy above the lowest structure with this stoichiometry (eV per formula unit) = 1.23
- E (eV per atom) = -4.948

a = 10.255 Å, b = 10.255 Å, c = 6.478 Å
α = 90.00°, β = 90.00°, γ = 90.00°
Space group I4 (No. 79)
Symmetry-distinct sites (fractional):
Ac (0.000, 0.000, 0.000) [2 per cell]
Y (0.055, 0.649, 0.221) [8 per cell]
Ho (0.000, 0.000, 0.465) [2 per cell]
Ho (0.144, 0.762, 0.712) [8 per cell]

***

# 8
ZnHAu2 | PBE | optimized geometry

Summary:
- density (g cm⁻³) = 12.97
- crystal system = trigonal
- energy above the lowest structure with this stoichiometry (eV per formula unit) = 0.68
- E (eV per atom) = -2.493

a = 2.8620 Å, b = 2.8620 Å, c = 24.9273 Å
α = 90.00°, β = 90.00°, γ = 120.00°
Space group R-3m (No. 166, hexagonal axes)
Symmetry-distinct sites (fractional):
Zn (0.0000, 0.0000, 0.0000) [3 per cell]
H (0.0000, 0.0000, 0.5000) [3 per cell]
Au (0.0000, 0.0000, 0.1068) [6 per cell]

***

# 9
Ba4PrTa3O12 | PBE | optimized geometry

Summary:
- formation energy (no corrections) (meV per atom) = -2894
- density (g cm⁻³) = 7.70
- crystal system = cubic
- E (eV per atom) = -8.270

a = 8.503 Å, b = 8.503 Å, c = 8.503 Å
α = 90.00°, β = 90.00°, γ = 90.00°
Space group Im-3m (No. 229)
Symmetry-distinct sites (fractional):
Ba (0.250, 0.250, 0.250) [8 per cell]
Pr (0.000, 0.000, 0.000) [2 per cell]
Ta (0.000, 0.000, 0.500) [6 per cell]
O (0.000, 0.000, 0.270) [12 per cell]
O (0.000, 0.250, 0.500) [12 per cell]

***

# 10
CrBi2Te | PBE | optimized geometry

Summary:
- formation energy (no corrections) (meV per atom) = 494
- density (g cm⁻³) = 6.51
- crystal system = tetragonal
- E (eV per atom) = -4.638

a = 6.466 Å, b = 6.466 Å, c = 14.575 Å
α = 90.00°, β = 90.00°, γ = 90.00°
Space group I-42d (No. 122)
Symmetry-distinct sites (fractional):
Cr (0.000, 0.000, 0.000) [4 per cell]
Bi (0.198, 0.250, 0.125) [8 per cell]
Te (0.000, 0.000, 0.500) [4 per cell]

***

# 11
AgB2 | PBE | optimized geometry

Summary:
- energy of formation from the pure elements (eV per atom) = 0.540
- density (g cm⁻³) = 6.70
- crystal system = hexagonal
- energy above the lowest structure with this stoichiometry (eV per formula unit) = 0.98
- E (eV per atom) = -4.862

a = 3.0309 Å, b = 3.0309 Å, c = 4.0358 Å
α = 90.00°, β = 90.00°, γ = 120.00°
Space group P6/mmm (No. 191)
Symmetry-distinct sites (fractional):
Ag (0.0000, 0.0000, 0.0000) [1 per cell]
B (0.3333, 0.6667, 0.5000) [2 per cell]

***

# 12
AcTe3 | PBE | optimized geometry

Summary:
- formation energy (no corrections) (meV per atom) = -1000
- density (g cm⁻³) = 6.29
- crystal system = tetragonal
- E (eV per atom) = -4.383

a = 4.420 Å, b = 4.420 Å, c = 8.247 Å
α = 90.00°, β = 90.00°, γ = 90.00°
Space group P4mm (No. 99)
Symmetry-distinct sites (fractional):
Ac (0.000, 0.000, 0.000) [1 per cell]
Te (0.000, 0.500, 0.667) [2 per cell]
Te (0.500, 0.500, 0.142) [1 per cell]

***

# 13
La5Pd2 | PBE | optimized geometry

Summary:
- energy of formation from the pure elements (eV per atom) = -0.476
- density (g cm⁻³) = 6.82
- crystal system = monoclinic
- E (eV per atom) = -5.479

a = 17.791 Å, b = 6.763 Å, c = 7.407 Å
α = 90.00°, β = 97.19°, γ = 90.00°
Space group C2/c (No. 15)
Symmetry-distinct sites (fractional):
La (0.000, 0.080, 0.250) [4 per cell]
La (0.094, 0.397, 0.930) [8 per cell]
La (0.218, 0.076, 0.315) [8 per cell]
Pd (0.109, 0.185, 0.580) [8 per cell]

***

# 14
MnGaTeI2 | PBE | optimized geometry

Summary:
- formation energy (no corrections) (meV per atom) = -19
- density (g cm⁻³) = 4.95
- crystal system = tetragonal
- energy above the lowest structure with this stoichiometry (eV per formula unit) = 0.00
- E (eV per atom) = -3.707

a = 5.633 Å, b = 5.633 Å, c = 5.349 Å
α = 90.00°, β = 90.00°, γ = 90.00°
Space group P4/mmm (No. 123)
Symmetry-distinct sites (fractional):
Mn (0.000, 0.000, 0.000) [1 per cell]
Ga (0.500, 0.500, 0.500) [1 per cell]
Te (0.000, 0.000, 0.500) [1 per cell]
I (0.000, 0.500, 0.000) [2 per cell]

***

# 15
DyHoInOs | PBE | optimized geometry

Summary:
- energy of formation from the pure elements (eV per atom) = -0.372
- density (g cm⁻³) = 11.21
- crystal system = tetragonal
- energy above the lowest structure with this stoichiometry (eV per formula unit) = 0.00
- E (eV per atom) = -6.159

a = 3.421 Å, b = 3.421 Å, c = 8.004 Å
α = 90.00°, β = 90.00°, γ = 90.00°
Space group P4mm (No. 99)
Symmetry-distinct sites (fractional):
Dy (0.000, 0.000, 0.000) [1 per cell]
Ho (0.000, 0.000, 0.588) [1 per cell]
In (0.500, 0.500, 0.295) [1 per cell]
Os (0.500, 0.500, 0.793) [1 per cell]

***

# 16
Cs4AgPd3Br12 | PBE | optimized geometry

Summary:
- formation energy (no corrections) (meV per atom) = -928
- density (g cm⁻³) = 5.10
- crystal system = cubic
- E (eV per atom) = -3.024

a = 10.769 Å, b = 10.769 Å, c = 10.769 Å
α = 90.00°, β = 90.00°, γ = 90.00°
Space group Im-3m (No. 229)
Symmetry-distinct sites (fractional):
Cs (0.250, 0.250, 0.250) [8 per cell]
Ag (0.000, 0.000, 0.000) [2 per cell]
Pd (0.000, 0.000, 0.500) [6 per cell]
Br (0.000, 0.000, 0.263) [12 per cell]
Br (0.000, 0.250, 0.500) [12 per cell]

***

# 17
CdPW2 | PBE | optimized geometry

Summary:
- energy of formation from the pure elements (eV per atom) = 0.782
- density (g cm⁻³) = 13.51
- crystal system = cubic
- energy above the lowest structure with this stoichiometry (eV per formula unit) = 2.12
- E (eV per atom) = -7.276

a = 6.311 Å, b = 6.311 Å, c = 6.311 Å
α = 90.00°, β = 90.00°, γ = 90.00°
Space group Fm-3m (No. 225)
Symmetry-distinct sites (fractional):
Cd (0.000, 0.000, 0.000) [4 per cell]
P (0.000, 0.000, 0.500) [4 per cell]
W (0.250, 0.250, 0.250) [8 per cell]

***

# 18
BaTl2RhAu | PBE | optimized geometry

Summary:
- energy of formation from the pure elements (eV per atom) = -0.232
- density (g cm⁻³) = 9.52
- crystal system = tetragonal
- energy above the lowest structure with this stoichiometry (eV per formula unit) = 0.00
- E (eV per atom) = -3.689

a = 5.196 Å, b = 5.196 Å, c = 5.464 Å
α = 90.00°, β = 90.00°, γ = 90.00°
Space group P4/mmm (No. 123)
Symmetry-distinct sites (fractional):
Ba (0.000, 0.000, 0.000) [1 per cell]
Tl (0.000, 0.500, 0.500) [2 per cell]
Rh (0.500, 0.500, 0.500) [1 per cell]
Au (0.500, 0.500, 0.000) [1 per cell]

***

# 19
CaSi3S | PBE | optimized geometry

Summary:
- formation energy (no corrections) (meV per atom) = 1729
- density (g cm⁻³) = 1.66
- crystal system = cubic
- energy above the lowest structure with this stoichiometry (eV per formula unit) = 6.72
- E (eV per atom) = -2.751

a = 5.387 Å, b = 5.387 Å, c = 5.387 Å
α = 90.00°, β = 90.00°, γ = 90.00°
Space group Pm-3m (No. 221)
Symmetry-distinct sites (fractional):
Ca (0.000, 0.000, 0.000) [1 per cell]
Si (0.000, 0.000, 0.500) [3 per cell]
S (0.500, 0.500, 0.500) [1 per cell]

***

# 20
ThFe5P3 | PBE | optimized geometry

Summary:
- energy of formation from the pure elements (eV per atom) = -0.697
- density (g cm⁻³) = 8.35
- crystal system = orthorhombic
- energy above the lowest structure with this stoichiometry (eV per formula unit) = 0.16
- E (eV per atom) = -8.026

a = 3.706 Å, b = 11.776 Å, c = 11.010 Å
α = 90.00°, β = 90.00°, γ = 90.00°
Space group Cmcm (No. 63)
Symmetry-distinct sites (fractional):
Th (0.000, 0.175, 0.250) [4 per cell]
Fe (0.000, 0.000, 0.000) [4 per cell]
Fe (0.000, 0.192, 0.567) [8 per cell]
Fe (0.000, 0.457, 0.141) [8 per cell]
P (0.000, 0.106, 0.750) [4 per cell]
P (0.000, 0.373, 0.540) [8 per cell]